Entry 1:
Computed, not measured: crystalline MnRu2Se at its relaxed geometry at the PBEsol level of DFT.

Symmetry: R-3m
Formation energy from raw total energies (eV/atom): 0.29
V (A^3/atom): 13.8

a b c (Å): 2.832 2.832 8.118
angles (deg): 79.96 79.96 60.00
Last column: magnetic moment on the atom in μB.
Positions (direct):
Mn: 0.000 0.000 0.000  2.66
Ru: 0.251 0.251 0.248  -0.04
Ru: 0.749 0.749 0.752  -0.04
Se: 0.500 0.500 0.500  0.01

***

Entry 2:
Computed, not measured: crystalline MnRu2Se at its relaxed geometry at the PBEsol level of DFT.

Symmetry: Imm2
Formation energy from raw total energies (eV/atom): 0.24
V (A^3/atom): 13.3

a b c (Å): 2.904 4.252 5.005
angles (deg): 115.14 106.87 90.00
Last column: magnetic moment on the atom in μB.
Positions (direct):
Mn: 0.226 0.726 0.451  2.13
Ru: 0.998 0.998 0.995  -0.25
Ru: 0.773 0.273 0.547  -0.20
Se: 0.503 0.503 0.007  -0.03

***

Entry 3:
Computed, not measured: crystalline MnRu2Se at its relaxed geometry at the PBEsol level of DFT.

Symmetry: P4mm
Formation energy from raw total energies (eV/atom): 0.23
V (A^3/atom): 13.4

a b c (Å): 2.853 2.853 6.573
angles (deg): 90.00 90.00 90.00
Last column: magnetic moment on the atom in μB.
Positions (direct):
Mn: 0.500 0.500 0.733  2.26
Ru: 0.000 0.000 0.998  -0.04
Ru: 0.500 0.500 0.252  0.06
Se: 0.000 0.000 0.517  -0.05

***

Entry 4:
Computed, not measured: crystalline Mn3RuSe at its relaxed geometry at the PBEsol level of DFT.

Symmetry: Pm-3m
Formation energy from raw total energies (eV/atom): 1.11
V (A^3/atom): 17.0

a b c (Å): 4.395 4.395 4.395
angles (deg): 90.00 90.00 90.00
Last column: magnetic moment on the atom in μB.
Positions (direct):
Ru: 0.500 0.500 0.500  1.94
Mn: 0.000 0.500 0.000  3.28
Mn: 0.000 0.000 0.500  3.28
Mn: 0.500 0.000 0.000  3.28
Se: 0.000 0.000 0.000  -0.04

***

Entry 5:
Computed, not measured: crystalline MnRuSe2 at its relaxed geometry at the PBEsol level of DFT.

Symmetry: R-3m
Formation energy from raw total energies (eV/atom): 0.05
V (A^3/atom): 17.1

a b c (Å): 3.791 3.791 5.922
angles (deg): 71.33 71.33 60.00
Last column: magnetic moment on the atom in μB.
Positions (direct):
Mn: 0.000 0.000 0.000  4.10
Ru: 0.500 0.500 0.500  0.44
Se: 0.758 0.758 0.727  0.07
Se: 0.242 0.242 0.273  0.07

***

Entry 6:
Computed, not measured: crystalline MnRuSe2 at its relaxed geometry at the PBEsol level of DFT.

Symmetry: P-4m2
Formation energy from raw total energies (eV/atom): -0.22
V (A^3/atom): 19.5

a b c (Å): 3.738 3.738 5.592
angles (deg): 90.00 90.00 90.00
Last column: magnetic moment on the atom in μB.
Positions (direct):
Ru: 0.000 0.000 0.500  -0.26
Mn: 0.500 0.500 0.500  2.45
Se: 0.500 0.000 0.772  -0.09
Se: 0.000 0.500 0.228  -0.09

***

Entry 7:
Computed, not measured: crystalline MnSiRu2 at its relaxed geometry at the PBEsol level of DFT.

Symmetry: P4/mmm
Formation energy from raw total energies (eV/atom): -0.42
V (A^3/atom): 12.5

a b c (Å): 2.937 4.118 4.118
angles (deg): 90.00 90.00 90.00
Last column: magnetic moment on the atom in μB.
Positions (direct):
Ru: 0.000 0.000 0.500  0.00
Ru: 0.000 0.500 0.000  0.00
Si: 0.500 0.500 0.500  0.00
Mn: 0.500 0.000 0.000  2.92

***

Entry 8:
Computed, not measured: crystalline Mn2SiRu at its relaxed geometry at the PBEsol level of DFT.

Symmetry: P4/mmm
Formation energy from raw total energies (eV/atom): -0.19
V (A^3/atom): 12.0

a b c (Å): 3.572 3.572 3.776
angles (deg): 90.00 90.00 90.00
Last column: magnetic moment on the atom in μB.
Positions (direct):
Mn: 0.000 0.500 0.000  2.25
Mn: 0.500 0.000 0.000  2.25
Ru: 0.500 0.500 0.500  0.25
Si: 0.000 0.000 0.500  -0.07

***

Entry 9:
Computed, not measured: crystalline MnSiRu2 at its relaxed geometry at the PBEsol level of DFT.

Symmetry: P4/mmm
Formation energy from raw total energies (eV/atom): -0.34
V (A^3/atom): 12.6

a b c (Å): 2.931 2.931 5.862
angles (deg): 90.00 90.00 90.00
Last column: magnetic moment on the atom in μB.
Positions (direct):
Mn: 0.500 0.500 0.500  3.10
Ru: 0.000 0.000 0.763  0.01
Ru: 0.000 0.000 0.237  0.01
Si: 0.500 0.500 0.000  0.02

***

Entry 10:
Computed, not measured: crystalline Mn2SiRu at its relaxed geometry at the PBEsol level of DFT.

Symmetry: Pmmm
Formation energy from raw total energies (eV/atom): -0.31
V (A^3/atom): 11.8

a b c (Å): 2.879 3.995 4.089
angles (deg): 90.00 90.00 90.00
Last column: magnetic moment on the atom in μB.
Positions (direct):
Ru: 0.500 0.000 0.500  0.08
Si: 0.000 0.500 0.500  0.03
Mn: 0.000 0.000 0.000  2.74
Mn: 0.500 0.500 0.000  -0.90

***

Entry 11:
Computed, not measured: crystalline MnSiRu3 at its relaxed geometry at the PBEsol level of DFT.

Symmetry: Pm-3m
Formation energy from raw total energies (eV/atom): 0.82
V (A^3/atom): 15.9

a b c (Å): 4.298 4.298 4.298
angles (deg): 90.00 90.00 90.00
Last column: magnetic moment on the atom in μB.
Positions (direct):
Ru: 0.000 0.500 0.000  -0.41
Ru: 0.000 0.000 0.500  -0.41
Ru: 0.500 0.000 0.000  -0.41
Si: 0.000 0.000 0.000  0.01
Mn: 0.500 0.500 0.500  4.01

***

Entry 12:
Computed, not measured: crystalline Mn2SiRu at its relaxed geometry at the PBEsol level of DFT.

Symmetry: F-43m
Formation energy from raw total energies (eV/atom): -0.38
V (A^3/atom): 11.7

a b c (Å): 4.040 4.040 4.040
angles (deg): 60.00 60.00 60.00
Last column: magnetic moment on the atom in μB.
Positions (direct):
Ru: 0.500 0.500 0.500  0.05
Si: 0.750 0.750 0.750  0.03
Mn: 0.000 0.000 0.000  -0.66
Mn: 0.250 0.250 0.250  2.54